[1]
## KAgBi (GGA-PBE)

Data for an optimized crystal structure of KAgBi.

Values from the calculation:
E_form, eV/atom: -0.16
Symmetry: No. 187
Energy above the lowest structure with this stoichiometry, eV per atom: 0.000

abc: 5.169 5.169 3.960
angles: 90.00 90.00 120.00
Fractional coordinates of all 3 atoms:
K  0.000  0.000  0.000
Ag  0.667  0.333  0.500
Bi  0.333  0.667  0.500

[2]
## RbH2I (GGA-PBE)

Data for an optimized crystal structure of RbH2I.

Values from the calculation:
Symmetry: No. 11
Energy above the lowest structure with this stoichiometry, eV per atom: 0.024

abc: 4.583 5.865 8.585
angles: 90.00 105.47 90.00
Fractional coordinates of all 8 atoms:
Rb  0.094  0.250  0.187
Rb  0.906  0.750  0.813
H  0.278  0.686  0.558
H  0.278  0.814  0.558
H  0.722  0.186  0.442
H  0.722  0.314  0.442
I  0.400  0.250  0.801
I  0.600  0.750  0.199

[3]
## K3AsPt (GGA-PBE)

Data for an optimized crystal structure of K3AsPt.

Values from the calculation:
E_form, eV/atom: 0.26
Symmetry: No. 221
Energy above the lowest structure with this stoichiometry, eV per atom: 0.558

abc: 6.065 6.065 6.065
angles: 90.00 90.00 90.00
Fractional coordinates of all 5 atoms:
K  0.000  0.000  0.500
K  0.000  0.500  0.000
K  0.500  0.000  0.000
As  0.500  0.500  0.500
Pt  0.000  0.000  0.000

[4]
## Li2LaEr2Ge2 (GGA-PBE)

Data for an optimized crystal structure of Li2LaEr2Ge2.

Values from the calculation:
E_form, eV/atom: -0.50
Symmetry: No. 166

abc: 9.358 9.358 9.358
angles: 28.08 28.08 28.08
Fractional coordinates of all 7 atoms:
Li  0.089  0.089  0.089
Li  0.911  0.911  0.911
La  0.500  0.500  0.500
Er  0.370  0.370  0.370
Er  0.630  0.630  0.630
Ge  0.244  0.244  0.244
Ge  0.756  0.756  0.756

[5]
## NiAsHPd2 (GGA-PBE)

Data for an optimized crystal structure of NiAsHPd2.

Values from the calculation:
Symmetry: No. 123
Calculated total energy, hartree per atom: -0.1801

abc: 4.164 4.164 3.515
angles: 90.00 90.00 90.00
Fractional coordinates of all 5 atoms:
Ni  0.000  0.000  0.000
As  0.500  0.500  0.000
H  0.000  0.000  0.500
Pd  0.000  0.500  0.500
Pd  0.500  0.000  0.500

[6]
## Pm2Nd2Bi3 (GGA-PBE)

Data for an optimized crystal structure of Pm2Nd2Bi3.

Values from the calculation:
E_form, eV/atom: -0.68
Symmetry: No. 12
Energy above the lowest structure with this stoichiometry, eV per atom: 0.152

abc: 14.766 4.569 7.714
angles: 90.00 99.23 90.00
Fractional coordinates of all 14 atoms:
Pm  0.120  0.000  0.383
Pm  0.380  0.500  0.617
Pm  0.620  0.500  0.383
Pm  0.880  0.000  0.617
Nd  0.124  0.500  0.865
Nd  0.376  0.000  0.135
Nd  0.624  0.000  0.865
Nd  0.876  0.500  0.135
Bi  0.000  0.000  0.000
Bi  0.242  0.500  0.252
Bi  0.258  0.000  0.748
Bi  0.500  0.500  0.000
Bi  0.742  0.000  0.252
Bi  0.758  0.500  0.748

[7]
## Ag3Sn12Ge5 (GGA-PBE)

Data for an optimized crystal structure of Ag3Sn12Ge5.

Values from the calculation:
E_form, eV/atom: 0.17
Symmetry: No. 230

abc: 14.293 14.293 14.293
angles: 109.47 109.47 109.47
Fractional coordinates of all 80 atoms:
Ag  0.125  0.250  0.375
Ag  0.125  0.375  0.750
Ag  0.250  0.375  0.125
Ag  0.250  0.875  0.625
Ag  0.375  0.125  0.250
Ag  0.375  0.750  0.125
Ag  0.625  0.250  0.875
Ag  0.625  0.875  0.750
Ag  0.750  0.125  0.375
Ag  0.750  0.625  0.875
Ag  0.875  0.625  0.250
Ag  0.875  0.750  0.625
Sn  0.059  0.234  0.126
Sn  0.059  0.325  0.933
Sn  0.067  0.626  0.392
Sn  0.067  0.941  0.675
Sn  0.108  0.734  0.675
Sn  0.108  0.874  0.433
Sn  0.126  0.059  0.234
Sn  0.126  0.567  0.892
Sn  0.175  0.234  0.608
Sn  0.175  0.441  0.567
Sn  0.234  0.126  0.059
Sn  0.234  0.608  0.175
Sn  0.266  0.325  0.892
Sn  0.266  0.441  0.374
Sn  0.325  0.892  0.266
Sn  0.325  0.933  0.059
Sn  0.374  0.266  0.441
Sn  0.374  0.608  0.933
Sn  0.392  0.067  0.626
Sn  0.392  0.825  0.766
Sn  0.433  0.108  0.874
Sn  0.433  0.825  0.559
Sn  0.441  0.374  0.266
Sn  0.441  0.567  0.175
Sn  0.559  0.433  0.825
Sn  0.559  0.626  0.734
Sn  0.567  0.175  0.441
Sn  0.567  0.892  0.126
Sn  0.608  0.175  0.234
Sn  0.608  0.933  0.374
Sn  0.626  0.392  0.067
Sn  0.626  0.734  0.559
Sn  0.675  0.067  0.941
Sn  0.675  0.108  0.734
Sn  0.734  0.559  0.626
Sn  0.734  0.675  0.108
Sn  0.766  0.392  0.825
Sn  0.766  0.874  0.941
Sn  0.825  0.559  0.433
Sn  0.825  0.766  0.392
Sn  0.874  0.433  0.108
Sn  0.874  0.941  0.766
Sn  0.892  0.126  0.567
Sn  0.892  0.266  0.325
Sn  0.933  0.059  0.325
Sn  0.933  0.374  0.608
Sn  0.941  0.675  0.067
Sn  0.941  0.766  0.874
Ge  0.000  0.000  0.000
Ge  0.000  0.000  0.500
Ge  0.000  0.500  0.000
Ge  0.000  0.500  0.500
Ge  0.125  0.750  0.875
Ge  0.125  0.875  0.250
Ge  0.250  0.125  0.875
Ge  0.250  0.625  0.375
Ge  0.375  0.250  0.625
Ge  0.375  0.625  0.750
Ge  0.500  0.000  0.000
Ge  0.500  0.000  0.500
Ge  0.500  0.500  0.000
Ge  0.500  0.500  0.500
Ge  0.625  0.375  0.250
Ge  0.625  0.750  0.375
Ge  0.750  0.375  0.625
Ge  0.750  0.875  0.125
Ge  0.875  0.125  0.750
Ge  0.875  0.250  0.125

[8]
## In2CoSe2 (GGA-PBE)

Data for an optimized crystal structure of In2CoSe2.

Values from the calculation:
Symmetry: No. 139
Raw formation energy, eV per atom: 0.527
Energy above the lowest structure with this stoichiometry, eV per atom: 0.543

abc: 3.976 3.976 15.426
angles: 90.00 90.00 90.00
Fractional coordinates of all 10 atoms:
In  0.000  0.500  0.250
In  0.000  0.500  0.750
In  0.500  0.000  0.250
In  0.500  0.000  0.750
Co  0.000  0.000  0.000
Co  0.500  0.500  0.500
Se  0.000  0.000  0.416
Se  0.000  0.000  0.584
Se  0.500  0.500  0.084
Se  0.500  0.500  0.916

[9]
## AcSm5Te4 (GGA-PBE)

Data for an optimized crystal structure of AcSm5Te4.

Values from the calculation:
Symmetry: No. 59
Raw formation energy, eV per atom: -0.812

abc: 9.355 10.194 7.788
angles: 90.00 90.00 90.00
Fractional coordinates of all 20 atoms:
Ac  0.250  0.250  0.152
Ac  0.750  0.750  0.848
Sm  0.050  0.055  0.762
Sm  0.050  0.445  0.762
Sm  0.250  0.750  0.773
Sm  0.450  0.055  0.762
Sm  0.450  0.445  0.762
Sm  0.550  0.555  0.238
Sm  0.550  0.945  0.238
Sm  0.750  0.250  0.227
Sm  0.950  0.555  0.238
Sm  0.950  0.945  0.238
Te  0.010  0.250  0.457
Te  0.250  0.554  0.065
Te  0.250  0.946  0.065
Te  0.490  0.250  0.457
Te  0.510  0.750  0.543
Te  0.750  0.054  0.935
Te  0.750  0.446  0.935
Te  0.990  0.750  0.543

[10]
## LaMg2Cr (GGA-PBE)

Data for an optimized crystal structure of LaMg2Cr.

Values from the calculation:
E_form, eV/atom: 0.50
Symmetry: No. 122

abc: 4.319 4.319 22.815
angles: 90.00 90.00 90.00
Fractional coordinates of all 16 atoms:
La  0.000  0.000  0.000
La  0.000  0.500  0.250
La  0.500  0.000  0.750
La  0.500  0.500  0.500
Mg  0.228  0.250  0.625
Mg  0.250  0.728  0.875
Mg  0.250  0.772  0.375
Mg  0.272  0.250  0.125
Mg  0.728  0.750  0.125
Mg  0.750  0.228  0.375
Mg  0.750  0.272  0.875
Mg  0.772  0.750  0.625
Cr  0.000  0.000  0.500
Cr  0.000  0.500  0.750
Cr  0.500  0.000  0.250
Cr  0.500  0.500  0.000

[11]
## SrCaAsH (GGA-PBE)

Data for an optimized crystal structure of SrCaAsH.

Values from the calculation:
Symmetry: No. 186
Energy above the lowest structure with this stoichiometry, eV per atom: 0.000

abc: 4.856 4.856 10.051
angles: 90.00 90.00 120.00
Fractional coordinates of all 8 atoms:
Sr  0.333  0.667  0.000
Sr  0.667  0.333  0.500
Ca  0.000  0.000  0.265
Ca  0.000  0.000  0.765
As  0.333  0.667  0.320
As  0.667  0.333  0.820
H  0.000  0.000  0.033
H  0.000  0.000  0.533